No. 1
First-principles (GGA-PBEsol) data for an optimized crystal structure of MgTa2NiSn, as listed in the Alexandria database.

Computed properties:
Electronic total energy   -5.4151 eV/atom
ΔH_f (0 K)   2.03 eV/atom
Crystal system   tetragonal
Density   7.69 g cm⁻³
Size of the total moment   0.22 μB per atom

Lattice parameters (Å, degrees): 4.819 5.024 5.024 90.00 90.00 90.00
Sites, in units of the cell vectors:
Ni1 0.500 0.500 0.500
Sn1 0.000 0.000 0.000
Ta1 0.000 0.500 0.000
Ta2 0.000 0.000 0.500
Mg1 0.500 0.000 0.000

***

No. 2
First-principles (GGA-PBEsol) data for an optimized crystal structure of SrMgNi, as listed in the Alexandria database.

Computed properties:
Electronic total energy   -3.1382 eV/atom
ΔH_f (0 K)   0.10 eV/atom
Crystal system   hexagonal
Density   3.87 g cm⁻³
Size of the total moment   0.00 μB per atom

Lattice parameters (Å, degrees): 4.326 4.421 4.421 120.00 90.00 90.00
Sites, in units of the cell vectors:
Ni1 0.000 0.333 0.667
Mg1 0.000 0.000 0.000
Sr1 0.500 0.667 0.333